The following is a DFT calculation (PBEsol) of a relaxed structure of FeSe2O.

The value obtained for the calculated volume is 16.9 Å³/atom. For the raw formation energy, the calculation gives 2.43 kcal/mol of atoms. The calculation puts the calculated density at 5.6 g/cm³.

The structure belongs to space group I-42d (No. 122); the cell edges are 5.105, 5.105 and 10.366 Å and the angles 90.00°, 90.00° and 90.00°. Symmetry generates all atoms from Fe at (0.000, 0.000, 0.000), Se at (0.238, 0.250, 0.125) and O at (0.000, 0.000, 0.500).

The following is a DFT calculation (PBEsol) of a relaxed structure of SrFe2Se2O.

The value obtained for the calculated volume is 19.5 Å³/atom. For the raw formation energy, the calculation gives -23.72 kcal/mol of atoms. The calculation puts the calculated density at 5.3 g/cm³.

The structure belongs to space group Pmmn (No. 59, origin choice 2); the cell edges are 3.766, 9.454 and 6.571 Å and the angles 90.00°, 90.00° and 90.00°. Symmetry generates all atoms from Sr at (0.250, 0.250, 0.040), Fe at (0.250, 0.568, 0.603), Se at (0.250, 0.556, 0.240) and O at (0.250, 0.750, 0.724).

The following is a DFT calculation (PBEsol) of a relaxed structure of Fe2SiO4.

The value obtained for the calculated volume is 9.7 Å³/atom. For the raw formation energy, the calculation gives -39.31 kcal/mol of atoms. The value obtained for the energy above the lowest structure with this stoichiometry is 0.0 kJ/mol of formula units. The calculation puts the calculated density at 5.0 g/cm³.

The structure belongs to space group Fd-3m (No. 227, origin choice 2); the cell edges are 8.152, 8.152 and 8.152 Å and the angles 90.00°, 90.00° and 90.00°. Symmetry generates all atoms from Fe at (0.000, 0.000, 0.000), Si at (0.125, 0.125, 0.625) and O at (0.008, 0.008, 0.742).

The following is a DFT calculation (PBEsol) of a relaxed structure of Fe2SiO4.

The value obtained for the calculated volume is 9.6 Å³/atom. For the raw formation energy, the calculation gives -34.97 kcal/mol of atoms. The value obtained for the energy above the lowest structure with this stoichiometry is 127.1 kJ/mol of formula units. The calculation puts the calculated density at 5.0 g/cm³.

The structure belongs to space group Pnma (No. 62); the cell edges are 9.570, 5.628 and 4.976 Å and the angles 90.00°, 90.00° and 90.00°. Symmetry generates all atoms from Fe at (0.000, 0.000, 0.000), Fe at (0.242, 0.250, 0.497), Si at (0.097, 0.750, 0.430), O at (0.065, 0.250, 0.691), O at (0.095, 0.750, 0.758) and O at (0.173, 0.519, 0.281).

The following is a DFT calculation (PBEsol) of a relaxed structure of FeSiO3.

The value obtained for the calculated volume is 10.9 Å³/atom. For the raw formation energy, the calculation gives -46.34 kcal/mol of atoms. The calculation puts the calculated density at 4.0 g/cm³.

The structure belongs to space group C2/c (No. 15); the cell edges are 10.151, 8.742 and 5.282 Å and the angles 90.00°, 110.98° and 90.00°. Symmetry generates all atoms from Fe at (0.000, 0.076, 0.250), Fe at (0.000, 0.207, 0.750), Si at (0.186, 0.411, 0.233), O at (0.116, 0.245, 0.125), O at (0.135, 0.470, 0.476) and O at (0.140, 0.089, 0.645).

The following is a DFT calculation (PBEsol) of a relaxed structure of FeSiO3.

The value obtained for the calculated volume is 11.0 Å³/atom. For the raw formation energy, the calculation gives -46.29 kcal/mol of atoms. The calculation puts the calculated density at 4.0 g/cm³.

The structure belongs to space group Pbca (No. 61); the cell edges are 5.290, 18.956 and 8.739 Å and the angles 90.00°, 90.00° and 90.00°. Symmetry generates all atoms from Fe at (0.086, 0.125, 0.175), Fe at (0.091, 0.123, 0.458), Si at (0.099, 0.720, 0.659), Si at (0.211, 0.033, 0.838), O at (0.076, 0.557, 0.710), O at (0.108, 0.693, 0.161), O at (0.120, 0.685, 0.490), O at (0.157, 0.193, 0.757), O at (0.210, 0.554, 0.338) and O at (0.214, 0.569, 0.000).

Question: Which value of raw formation energy does entry 3 give?
Answer: -39.31 kcal/mol of atoms